Below is an optimized crystal structure of NdDy3Y4S8, with properties calculated at the GGA-PBE level.

Cell lengths 7.867, 7.867, 7.867 Å; angles 60.03, 60.03, 60.03 degrees
Fractional coordinates of all 16 atoms:
Nd1 0.000 0.000 0.000
Dy1 0.000 0.500 0.500
Dy2 0.500 0.000 0.500
Dy3 0.500 0.500 0.000
Y1 0.000 0.000 0.500
Y2 0.000 0.500 0.000
Y3 0.500 0.000 0.000
Y4 0.500 0.500 0.500
S1 0.250 0.250 0.250
S2 0.255 0.255 0.744
S3 0.255 0.744 0.255
S4 0.256 0.745 0.745
S5 0.744 0.255 0.255
S6 0.745 0.256 0.745
S7 0.745 0.745 0.256
S8 0.750 0.750 0.750

Its formation energy without anion corrections is -1.991 eV per atom.